No. 1
A relaxed structure of Pr2NdInO. Source: OQMD, functional PBE-GGA.

a = 5.0072 Å, b = 5.0072 Å, c = 4.9782 Å
α = 90.00°, β = 90.00°, γ = 90.00°
Closest atoms and distances in Å follow each position.
Fractional positions:
In (0.0000, 0.0000, 0.0000)  8 Pr 3.53, 4 Nd 3.54
Nd (0.5000, 0.5000, 0.0000)  2 O 2.49
O (0.5000, 0.5000, 0.5000)  2 Nd 2.49, 4 Pr 2.50
Pr (0.5000, 0.0000, 0.5000)  2 O 2.50
Pr (0.0000, 0.5000, 0.5000)  2 O 2.50

Properties
As for the theoretical density: 7409 kg/m3. The magnetic moment comes out at 0.0 μB per formula unit. As for the electronic total energy: -0.4259 Ry/atom.

***

No. 2
A relaxed structure of Nd4InOs. Source: OQMD, functional PBE-GGA.

a = 8.1617 Å, b = 8.1617 Å, c = 6.2856 Å
α = 99.92°, β = 99.92°, γ = 113.60°
Closest atoms and distances in Å follow each position.
Fractional positions:
In (0.3768, 0.6232, 0.2500)  8 Nd 3.30-3.52
In (0.6232, 0.3768, 0.7500)  8 Nd 3.30-3.52
Nd (0.9411, 0.2799, 0.0507)  2 Os 2.95
Nd (0.3548, 0.2045, 0.1146)  2 Os 2.99-3.06, 1 In 3.30
Nd (0.7955, 0.6452, 0.3854)  2 Os 2.99-3.06, 1 In 3.30
Nd (0.7201, 0.0589, 0.4493)  2 Os 2.95
Nd (0.2799, 0.9410, 0.5507)  2 Os 2.95
Nd (0.2045, 0.3548, 0.6146)  2 Os 2.99-3.06, 1 In 3.30
Nd (0.6452, 0.7955, 0.8854)  2 Os 2.99-3.06, 1 In 3.30
Nd (0.0589, 0.7201, 0.9493)  2 Os 2.95
Os (0.0000, 0.0000, 0.2500)  8 Nd 2.95-3.06, 2 Os 3.14
Os (0.0000, 0.0000, 0.7500)  8 Nd 2.95-3.06, 2 Os 3.14

Properties
As for the theoretical density: 8043 kg/m3. The magnetic moment comes out at 0.0 μB per formula unit. As for the electronic total energy: -0.4224 Ry/atom.

***

No. 3
A relaxed structure of Nd3InP. Source: OQMD, functional PBE-GGA.

a = 9.1407 Å, b = 9.1407 Å, c = 7.1004 Å
α = 90.00°, β = 90.00°, γ = 120.03°
Closest atoms and distances in Å follow each position.
Fractional positions:
In (0.0000, 0.0000, 0.0000)  6 Nd 3.13
In (0.0000, 0.0000, 0.5000)  6 Nd 3.13
Nd (0.8371, 0.1629, 0.2500)  1 P 2.70
Nd (0.3260, 0.1632, 0.2500)  1 P 2.70
Nd (0.8368, 0.6740, 0.2500)  1 P 2.70
Nd (0.1632, 0.3260, 0.7500)  1 P 2.70
Nd (0.6740, 0.8368, 0.7500)  1 P 2.70
Nd (0.1629, 0.8371, 0.7500)  1 P 2.70
P (0.6668, 0.3332, 0.2500)  3 Nd 2.70
P (0.3332, 0.6668, 0.7500)  3 Nd 2.70

Properties
As for the theoretical density: 3741 kg/m3. The magnetic moment comes out at 1.0 μB per formula unit. As for the electronic total energy: -0.3196 Ry/atom.

***

No. 4
A relaxed structure of Nd3In2P4. Source: OQMD, functional PBE-GGA.

a = 6.0997 Å, b = 17.3323 Å, c = 4.1971 Å
α = 90.00°, β = 90.00°, γ = 90.00°
Closest atoms and distances in Å follow each position.
Fractional positions:
In (0.3390, 0.0893, 0.0000)  3 P 2.60-2.71
In (0.6610, 0.9107, 0.0000)  3 P 2.60-2.71
In (0.8390, 0.4107, 0.5000)  3 P 2.60-2.71
In (0.1610, 0.5893, 0.5000)  3 P 2.60-2.71
Nd (0.2110, 0.3017, 0.0000)  6 P 2.86-3.09
Nd (0.5000, 0.5000, 0.0000)  4 P 2.96
Nd (0.7890, 0.6983, 0.0000)  6 P 2.86-3.09
Nd (0.0000, 0.0000, 0.5000)  4 P 2.96
Nd (0.7110, 0.1983, 0.5000)  6 P 2.86-3.09
Nd (0.2890, 0.8017, 0.5000)  6 P 2.86-3.09
P (0.7651, 0.0879, 0.0000)  1 In 2.60, 2 Nd 2.86
P (0.7090, 0.3232, 0.0000)  2 In 2.71, 2 Nd 3.02
P (0.2910, 0.6768, 0.0000)  2 In 2.71, 2 Nd 3.02
P (0.2349, 0.9121, 0.0000)  1 In 2.60, 2 Nd 2.86
P (0.2090, 0.1768, 0.5000)  2 In 2.71, 2 Nd 3.02
P (0.2651, 0.4121, 0.5000)  1 In 2.60, 2 Nd 2.86
P (0.7349, 0.5879, 0.5000)  1 In 2.60, 2 Nd 2.86
P (0.7910, 0.8232, 0.5000)  2 In 2.71, 2 Nd 3.02

Properties
As for the theoretical density: 5885 kg/m3. The magnetic moment comes out at 0.0 μB per formula unit. As for the electronic total energy: -0.4013 Ry/atom.